Below is a geometry-optimized CsIrS2 structure, with properties calculated at the PBE level.

Geometry as POSCAR:
```
CsIrS2
1.0
3.5722 0.0000 -0.3032
0.0000 9.1746 0.0000
0.5533 0.0000 7.0685
Ir S Cs
2 4 2
direct
0.7548 0.2500 0.2487 Ir
0.2452 0.7500 0.7513 Ir
0.2548 0.4084 0.2488 S
0.2548 0.0916 0.2488 S
0.7452 0.9084 0.7512 S
0.7452 0.5916 0.7512 S
0.7536 0.7500 0.2514 Cs
0.2464 0.2500 0.7486 Cs
```

Results
**Raw formation energy**: -468 meV per atom
**Final energy**: -4.96 eV per atom


Below is a geometry-optimized CsIr2S structure, with properties calculated at the PBE level.

Geometry as POSCAR:
```
CsIr2S
1.0
5.2308 0.0000 0.0000
0.0000 5.2308 0.0000
2.6154 2.6154 7.6616
Ir S Cs
4 2 2
direct
0.8750 0.6250 0.7500 Ir
0.3750 0.6250 0.7500 Ir
0.3750 0.1250 0.2500 Ir
0.3750 0.6250 0.2500 Ir
0.2500 0.7500 0.5000 S
0.5000 0.5000 0.0000 S
0.0000 0.0000 0.0000 Cs
0.7500 0.2500 0.5000 Cs
```

Results
**Raw formation energy**: 237 meV per atom
**Final energy**: -5.44 eV per atom


Below is a geometry-optimized CsIrS2 structure, with properties calculated at the PBE level.

Geometry as POSCAR:
```
CsIrS2
1.0
-2.8161 -2.3419 0.9686
0.7653 -3.5775 0.9847
0.0043 0.1124 7.6935
S Cs Ir
2 1 1
direct
0.0493 0.0493 0.8520 S
0.2853 0.2853 0.1441 S
0.4973 0.4973 0.5081 Cs
0.6681 0.6681 0.9958 Ir
```

Results
**Raw formation energy**: -620 meV per atom
**Final energy**: -5.11 eV per atom


Below is a geometry-optimized Cs2Ir3S6 structure, with properties calculated at the PBE level.

Geometry as POSCAR:
```
Cs2Ir3S6
1.0
6.1271 0.0000 1.8234
3.0635 5.5349 0.9117
-0.1340 0.0000 7.9097
Ir S Cs
3 6 2
direct
0.3322 0.3357 0.0000 Ir
0.0000 0.0000 0.0000 Ir
0.6678 0.6643 0.0000 Ir
0.0514 0.3311 0.8522 S
0.3825 0.6689 0.8522 S
0.2864 0.0000 0.1476 S
0.9486 0.6689 0.1478 S
0.7136 0.0000 0.8524 S
0.6175 0.3311 0.1478 S
0.1667 0.6667 0.5000 Cs
0.8333 0.3333 0.5000 Cs
```

Results
**Raw formation energy**: -604 meV per atom
**Final energy**: -5.43 eV per atom